No. 1
Here is a relaxed Pm3Zn3Cu2 crystal from Alexandria via LeMat-Bulk. Energies are from PBE-GGA.

It has space group Pnma (No. 62), with a = 8.1108 Å, b = 15.5300 Å, c = 5.4421 Å, α = 90.00°, β = 90.00° and γ = 90.00°. The distinct sites, in fractional coordinates, are Pm at (0.0457, 0.1057, 0.1277), Pm at (0.1814, 0.2500, 0.6292), Zn at (0.1624, 0.7500, 0.6216), Zn at (0.1833, 0.0367, 0.6110) and Cu at (0.1049, 0.6068, 0.3784).

Its energy above the lowest structure with this stoichiometry is 14 meV per atom. The calculated formation energy comes out at -272.9 meV per atom.


No. 2
Here is a relaxed Pm4ZnCu3 crystal from Alexandria via LeMat-Bulk. Energies are from PBE-GGA.

It has space group Pmm2 (No. 25), with a = 3.9221 Å, b = 4.5763 Å, c = 10.6065 Å, α = 90.00°, β = 90.00° and γ = 90.00°. The distinct sites, in fractional coordinates, are Pm at (0.0000, 0.0000, 0.0000), Pm at (0.0000, 0.5000, 0.2756), Pm at (0.5000, 0.0000, 0.4861), Pm at (0.5000, 0.5000, 0.7775), Zn at (0.0000, 0.0000, 0.7043), Cu at (0.0000, 0.5000, 0.5663), Cu at (0.5000, 0.0000, 0.2035) and Cu at (0.5000, 0.5000, 0.0703).

Its energy above the lowest structure with this stoichiometry is 0 meV per atom. The calculated formation energy comes out at -200.8 meV per atom.


No. 3
Here is a relaxed Pm2ZnCu6 crystal from Alexandria via LeMat-Bulk. Energies are from PBE-GGA.

It has space group P-3m1 (No. 164), with a = 5.5581 Å, b = 5.5581 Å, c = 5.6821 Å, α = 90.00°, β = 90.00° and γ = 120.00°. The distinct sites, in fractional coordinates, are Pm at (0.3333, 0.6667, 0.1566), Zn at (0.0000, 0.0000, 0.0000) and Cu at (0.1792, 0.3584, 0.6589).

The calculated formation energy comes out at -157.8 meV per atom.


No. 4
Here is a relaxed PmZn2Cu6 crystal from Alexandria via LeMat-Bulk. Energies are from PBE-GGA.

It has space group Fd-3m (No. 227, origin choice 2), with a = 10.9730 Å, b = 10.9730 Å, c = 10.9730 Å, α = 90.00°, β = 90.00° and γ = 90.00°. The distinct sites, in fractional coordinates, are Pm at (0.1250, 0.1250, 0.1250), Zn at (0.0000, 0.0000, 0.5000) and Cu at (0.1231, 0.3750, 0.8750).

The calculated formation energy comes out at 360.6 meV per atom.